Record 1
Below is a geometry-optimized Ce2PrCd structure, with properties calculated at the GGA-PBE level.

Output
The calculation puts the calculated density at 7.9 g/cm3. The value obtained for the formation energy is 3.6 kcal/mol of atoms. The calculation puts the density of states at the Fermi level at 9.832 states/eV per cell. The size of the total moment comes out at 0.0 Bohr magnetons per cell. The distance to the lowest polymorph of the same formula comes out at 0.168 eV per atom.

```
Ce2PrCd
1.0
-2.058 -0.224 -2.502
-0.620 -2.893 -1.339
-10.235 -2.657 6.546
Pr Ce Cd
1 2 1
Direct
0.000 0.000 0.000
0.090 0.090 0.730
0.910 0.910 0.270
0.500 0.500 0.500
```

Record 2
Below is a geometry-optimized CePr2Cd3 structure, with properties calculated at the GGA-PBE level.

Output
The calculation puts the calculated density at 7.3 g/cm3. The value obtained for the formation energy is -5.7 kcal/mol of atoms. The calculation puts the density of states at the Fermi level at 12.774 states/eV per cell. The size of the total moment comes out at 2.3 Bohr magnetons per cell.

```
CePr2Cd3
1.0
3.854 0.000 0.000
0.000 3.854 0.000
0.000 0.000 11.697
Ce Pr Cd
1 2 3
Direct
0.500 0.500 0.500
0.500 0.500 0.833
0.500 0.500 0.167
0.000 0.000 0.000
0.000 0.000 0.665
0.000 0.000 0.335
```

Record 3
Below is a geometry-optimized CePr4Cd5 structure, with properties calculated at the GGA-PBE level.

Output
The calculation puts the calculated density at 7.2 g/cm3. The value obtained for the formation energy is -6.4 kcal/mol of atoms. The calculation puts the density of states at the Fermi level at 17.166 states/eV per cell. The size of the total moment comes out at 3.1 Bohr magnetons per cell.

```
CePr4Cd5
1.0
-1.160 -3.492 -1.202
1.689 0.619 -3.427
16.456 -7.776 6.706
Ce Pr Cd
1 4 5
Direct
0.000 0.000 0.000
0.000 0.000 0.199
0.000 0.000 0.399
0.000 0.000 0.601
0.000 0.000 0.801
0.500 0.500 0.099
0.500 0.500 0.299
0.500 0.500 0.500
0.500 0.500 0.701
0.500 0.500 0.901
```

Record 4
Below is a geometry-optimized Ce2PrCd5 structure, with properties calculated at the GGA-PBE level.

Output
The calculation puts the calculated density at 7.8 g/cm3. The value obtained for the formation energy is -5.1 kcal/mol of atoms. The calculation puts the density of states at the Fermi level at 15.420 states/eV per cell. The size of the total moment comes out at 2.2 Bohr magnetons per cell.

```
Ce2PrCd5
1.0
-4.279 -0.267 -2.683
2.528 -2.151 -3.817
-0.654 -6.229 6.429
Ce Pr Cd
2 1 5
Direct
0.738 0.738 0.475
0.262 0.262 0.525
0.000 0.000 0.000
0.500 0.500 0.000
0.882 0.382 0.763
0.382 0.882 0.763
0.118 0.618 0.237
0.618 0.118 0.237
```